1.
The following is a PBE calculation of SnB3Pt after structural relaxation, from the Alexandria database.

Computed properties:
Offset from the most stable computed form, meV per atom: 1229
E, eV/cell: -18.4

Lattice parameters (Å, degrees): 4.397 4.397 4.397 90.00 90.00 90.00
Positions (direct):
Sn 0.000 0.000 0.000
B 0.000 0.500 0.000
B 0.500 0.000 0.000
B 0.000 0.000 0.500
Pt 0.500 0.500 0.500


2.
The following is a PBE calculation of KAcAu4 after structural relaxation, from the Alexandria database.

Computed properties:
Offset from the most stable computed form, meV per atom: 110
E, eV/cell: -20.6

Lattice parameters (Å, degrees): 5.882 5.882 5.882 60.00 60.00 60.00
Positions (direct):
Au 0.123 0.626 0.626
Au 0.626 0.626 0.626
Au 0.626 0.123 0.626
Ac 0.250 0.250 0.250
Au 0.626 0.626 0.123
K 0.000 0.000 0.000


3.
The following is a PBE calculation of K4Sc3PaS8 after structural relaxation, from the Alexandria database.

Computed properties:
ΔE_f (raw), eV/f.u.: -26.78
E, eV/cell: -92.7

Lattice parameters (Å, degrees): 7.785 8.624 7.785 116.85 120.00 90.00
Each line ends with the local moment (μB).
Positions (direct):
S 0.763 0.302 0.038  -0.02
Sc 0.000 0.500 0.500  0.18
K 0.500 0.000 0.500  0.00
Sc 0.500 0.500 0.000  0.18
S 0.270 0.309 0.539  -0.01
Sc 0.500 0.500 0.500  0.18
S 0.237 0.698 0.962  -0.02
S 0.237 0.698 0.474  -0.02
K 0.000 0.000 0.500  0.00
Pa 0.000 0.500 0.000  0.98
S 0.763 0.302 0.526  -0.02
S 0.275 0.302 0.038  -0.02
K 0.500 0.000 0.000  0.00
S 0.730 0.691 0.461  -0.01
S 0.725 0.698 0.962  -0.02
K 0.000 0.000 0.000  0.00


4.
The following is a PBE calculation of BaSi2As after structural relaxation, from the Alexandria database.

Computed properties:
ΔE_f (raw), eV/f.u.: 0.00
E, eV/cell: -34.8

Lattice parameters (Å, degrees): 7.754 7.754 6.552 53.72 53.72 90.00
Positions (direct):
Ba 0.000 0.000 0.000
As 0.500 0.500 0.000
Ba 0.750 0.250 0.500
As 0.250 0.750 0.500
Si 0.375 0.463 0.750
Si 0.537 0.125 0.250
Si 0.875 0.787 0.750
Si 0.213 0.625 0.250


5.
The following is a PBE calculation of Tl3Au4 after structural relaxation, from the Alexandria database.

Computed properties:
Offset from the most stable computed form, meV per atom: 46
E, eV/cell: -20.0

Lattice parameters (Å, degrees): 12.903 12.903 12.903 163.92 163.92 22.82
Positions (direct):
Au 0.574 0.574 0.000
Tl 0.302 0.302 0.000
Tl 0.000 0.000 0.000
Au 0.874 0.874 0.000
Au 0.126 0.126 0.000
Tl 0.698 0.698 0.000
Au 0.426 0.426 0.000


6.
The following is a PBE calculation of TlCd2Cl after structural relaxation, from the Alexandria database.

Computed properties:
ΔE_f (raw), eV/f.u.: -1.26
Offset from the most stable computed form, meV per atom: 9
E, eV/cell: -7.3

Lattice parameters (Å, degrees): 6.715 6.715 5.149 67.30 67.30 30.96
Positions (direct):
Tl 0.250 0.250 0.250
Cl 0.750 0.750 0.750
Cd 0.007 0.007 0.993
Cd 0.493 0.493 0.507


7.
The following is a PBE calculation of Ho4FeSn after structural relaxation, from the Alexandria database.

Computed properties:
E, eV/cell: -65.2

Lattice parameters (Å, degrees): 5.958 7.854 7.854 113.26 100.60 100.60
Positions (direct):
Ho 0.372 0.792 0.648
Ho 0.449 0.730 0.054
Ho 0.551 0.270 0.946
Fe 0.250 0.000 0.000
Sn 0.250 0.371 0.629
Ho 0.051 0.946 0.270
Sn 0.750 0.629 0.371
Ho 0.628 0.208 0.352
Fe 0.750 0.000 0.000
Ho 0.872 0.648 0.792
Ho 0.949 0.054 0.730
Ho 0.128 0.352 0.208


8.
The following is a PBE calculation of KGaRu2 after structural relaxation, from the Alexandria database.

Computed properties:
E, eV/cell: -39.0

Lattice parameters (Å, degrees): 4.740 4.740 9.589 75.69 75.69 90.00
Positions (direct):
Ga 0.750 0.250 0.500
K 0.250 0.750 0.500
Ga 0.000 0.000 0.000
Ru 0.878 0.625 0.250
K 0.500 0.500 0.000
Ru 0.375 0.128 0.750
Ru 0.875 0.122 0.750
Ru 0.872 0.125 0.250


9.
The following is a PBE calculation of Na2CdAg after structural relaxation, from the Alexandria database.

Computed properties:
E, eV/cell: -6.4

Lattice parameters (Å, degrees): 3.678 3.678 7.267 90.00 90.00 90.00
Positions (direct):
Cd 0.500 0.500 0.500
Na 0.000 0.000 0.235
Ag 0.500 0.500 0.000
Na 0.000 0.000 0.765


10.
The following is a PBE calculation of K2LiAg2Br6 after structural relaxation, from the Alexandria database.

Computed properties:
ΔE_f (raw), eV/f.u.: -10.68
E, eV/cell: -30.5

Lattice parameters (Å, degrees): 7.182 8.092 7.906 116.80 90.00 116.34
Positions (direct):
Br 0.269 0.538 0.380
Li 0.500 0.000 0.500
Br 0.326 0.126 0.804
Br 0.800 0.126 0.804
Br 0.200 0.874 0.196
Br 0.674 0.874 0.196
K 0.259 0.518 0.789
Br 0.731 0.462 0.620
K 0.741 0.482 0.211
Ag 0.933 0.867 0.776
Ag 0.067 0.133 0.224


11.
The following is a PBE calculation of BaIn2Bi after structural relaxation, from the Alexandria database.

Computed properties:
E, eV/cell: -25.1

Lattice parameters (Å, degrees): 9.208 9.208 7.383 51.42 51.42 90.00
Positions (direct):
Ba 0.250 0.750 0.500
Ba 0.500 0.500 0.000
In 0.375 0.333 0.750
In 0.875 0.917 0.750
Bi 0.000 0.000 0.000
Bi 0.750 0.250 0.500
In 0.083 0.625 0.250
In 0.667 0.125 0.250


12.
The following is a PBE calculation of OsRu3 after structural relaxation, from the Alexandria database.

Computed properties:
E, eV/cell: -38.6

Lattice parameters (Å, degrees): 2.714 3.827 6.054 90.00 63.35 90.00
Positions (direct):
Ru 0.251 0.500 0.249
Ru 0.749 0.500 0.751
Ru 0.500 0.000 0.500
Os 0.000 0.000 0.000


13.
The following is a PBE calculation of SrCaIn2 after structural relaxation, from the Alexandria database.

Computed properties:
Offset from the most stable computed form, meV per atom: 18
E, eV/cell: -10.9

Lattice parameters (Å, degrees): 5.524 4.081 5.543 89.99 90.00 90.00
Positions (direct):
Ca 0.500 0.625 0.868
In 0.500 0.125 0.360
In 0.000 0.125 0.888
Sr 0.000 0.625 0.383


14.
The following is a PBE calculation of CeHo2CuS5 after structural relaxation, from the Alexandria database.

Computed properties:
ΔE_f (raw), eV/f.u.: -14.91
E, eV/cell: -109.5

Lattice parameters (Å, degrees): 3.787 9.355 11.020 90.00 90.00 101.68
Each line ends with the local moment (μB).
Positions (direct):
Cu 0.436 0.872 0.450  -0.01
Ce 0.801 0.602 0.507  0.82
S 0.333 0.666 0.328  -0.02
Ho 0.890 0.779 0.810  0.01
S 0.303 0.606 0.697  -0.02
S 0.950 0.899 0.563  -0.01
S 0.667 0.334 0.828  -0.02
Ho 0.110 0.221 0.310  0.01
Cu 0.564 0.128 0.950  -0.01
S 0.050 0.101 0.063  -0.01
S 0.638 0.277 0.506  0.00
Ho 0.912 0.824 0.183  0.02
S 0.697 0.394 0.197  -0.02
Ho 0.088 0.176 0.683  0.02
Ce 0.199 0.398 0.007  0.82
S 0.495 0.989 0.781  0.00
S 0.362 0.723 0.006  0.00
S 0.505 0.011 0.281  0.00


15.
The following is a PBE calculation of HfTh2Mg after structural relaxation, from the Alexandria database.

Computed properties:
Offset from the most stable computed form, meV per atom: 72
E, eV/cell: -25.7

Lattice parameters (Å, degrees): 3.354 3.354 11.661 81.73 81.73 60.00
Positions (direct):
Mg 0.500 0.500 0.499
Th 0.253 0.253 0.242
Hf 0.666 0.666 0.001
Th 0.081 0.081 0.758


16.
The following is a PBE calculation of SmHoCuIr after structural relaxation, from the Alexandria database.

Computed properties:
Offset from the most stable computed form, meV per atom: 15
E, eV/cell: -24.4

Lattice parameters (Å, degrees): 4.916 4.916 4.916 60.00 60.00 60.00
Positions (direct):
Ho 0.750 0.750 0.750
Sm 0.250 0.250 0.250
Cu 0.500 0.500 0.500
Ir 0.000 0.000 0.000


17.
The following is a PBE calculation of MgZrIr2 after structural relaxation, from the Alexandria database.

Computed properties:
E, eV/cell: -27.7

Lattice parameters (Å, degrees): 9.798 9.798 9.798 16.87 16.87 16.87
Each line ends with the local moment (μB).
Positions (direct):
Ir 0.994 0.994 0.994  0.10
Zr 0.744 0.744 0.744  0.13
Ir 0.252 0.252 0.252  0.14
Mg 0.509 0.509 0.509  0.00


18.
The following is a PBE calculation of ZrPaTe after structural relaxation, from the Alexandria database.

Computed properties:
ΔE_f (raw), eV/f.u.: -0.95
Offset from the most stable computed form, meV per atom: 0
E, eV/cell: -22.1

Lattice parameters (Å, degrees): 3.564 3.564 6.461 106.01 106.01 90.00
Each line ends with the local moment (μB).
Positions (direct):
Pa 0.949 0.949 0.899  0.66
Te 0.267 0.267 0.533  -0.01
Zr 0.634 0.634 0.268  0.00


19.
The following is a PBE calculation of AcPmCu2S4 after structural relaxation, from the Alexandria database.

Computed properties:
ΔE_f (raw), eV/f.u.: -10.35
E, eV/cell: -43.9

Lattice parameters (Å, degrees): 6.622 6.214 6.214 68.47 57.80 57.80
Positions (direct):
S 0.960 0.501 0.087
Cu 0.833 0.667 0.667
S 0.453 0.087 0.501
Ac 0.000 0.000 0.000
Cu 0.167 0.333 0.333
Pm 0.500 0.500 0.500
S 0.547 0.499 0.913
S 0.040 0.913 0.499


20.
The following is a PBE calculation of Zn22Tc after structural relaxation, from the Alexandria database.

Computed properties:
E, eV/cell: -74.3

Lattice parameters (Å, degrees): 9.877 9.877 9.877 60.00 60.00 60.00
Positions (direct):
Zn 0.058 0.819 0.805
Zn 0.681 0.695 0.942
Zn 0.319 0.305 0.058
Zn 0.516 0.016 0.234
Zn 0.319 0.305 0.319
Zn 0.766 0.984 0.484
Zn 0.234 0.016 0.516
Zn 0.942 0.181 0.195
Zn 0.000 0.500 0.500
Tc 0.875 0.375 0.875
Tc 0.125 0.625 0.125
Zn 0.500 0.500 0.500
Zn 0.000 0.000 0.500
Zn 0.805 0.819 0.319
Zn 0.681 0.442 0.195
Zn 0.766 0.984 0.766
Zn 0.681 0.442 0.681
Zn 0.234 0.734 0.516
Zn 0.234 0.016 0.234
Zn 0.195 0.181 0.681
Zn 0.319 0.819 0.058
Zn 0.516 0.734 0.234
Zn 0.484 0.984 0.766
Zn 0.766 0.266 0.484
Zn 0.195 0.442 0.681
Zn 0.319 0.558 0.319
Zn 0.516 0.734 0.516
Zn 0.500 0.000 0.000
Zn 0.500 0.000 0.500
Zn 0.319 0.558 0.805
Zn 0.484 0.266 0.766
Zn 0.500 0.500 0.000
Zn 0.195 0.181 0.942
Zn 0.681 0.181 0.195
Zn 0.000 0.500 0.000
Zn 0.000 0.000 0.000
Zn 0.058 0.819 0.319
Zn 0.805 0.558 0.319
Zn 0.681 0.695 0.681
Zn 0.058 0.305 0.319
Zn 0.681 0.181 0.942
Zn 0.805 0.819 0.058
Zn 0.319 0.819 0.805
Zn 0.484 0.266 0.484
Zn 0.942 0.695 0.681
Zn 0.942 0.181 0.681


21.
The following is a PBE calculation of Pm3Pr4Sm3 after structural relaxation, from the Alexandria database.

Computed properties:
E, eV/cell: -46.5

Lattice parameters (Å, degrees): 3.890 9.560 9.560 89.94 90.00 90.00
Positions (direct):
Sm 0.500 0.831 0.169
Sm 0.500 0.669 0.669
Pr 0.000 0.630 0.370
Pr 0.000 0.370 0.630
Pr 0.000 0.869 0.870
Pr 0.000 0.130 0.131
Pm 0.500 0.169 0.831
Sm 0.500 0.331 0.331
Pm 0.000 0.000 0.499
Pm 0.000 0.501 0.000


22.
The following is a PBE calculation of BaLi2Ag after structural relaxation, from the Alexandria database.

Computed properties:
Offset from the most stable computed form, meV per atom: 90
E, eV/cell: -8.8

Lattice parameters (Å, degrees): 6.316 6.316 6.316 144.70 127.21 65.10
Positions (direct):
Ba 0.250 0.750 0.500
Ag 0.750 0.250 0.500
Li 0.949 0.949 0.000
Li 0.551 0.551 0.000


23.
The following is a PBE calculation of SrReSi3 after structural relaxation, from the Alexandria database.

Computed properties:
ΔE_f (raw), eV/f.u.: 14.12
Offset from the most stable computed form, meV per atom: 2731
E, eV/cell: -16.3

Lattice parameters (Å, degrees): 4.984 4.984 4.984 90.00 90.00 90.00
Positions (direct):
Re 0.500 0.500 0.500
Sr 0.000 0.000 0.000
Si 0.000 0.500 0.000
Si 0.500 0.000 0.000
Si 0.000 0.000 0.500